1.
## PmSnPAu (PBE)

Data for an optimized crystal structure of PmSnPAu.

Summary:
total magnetization: 0.000 μB per atom
E_form: -0.50 eV/atom
final energy: -4.864 eV per atom

a b c (Å): 5.037 5.037 5.037
angles (deg): 60.00 60.00 60.00
Sites, in units of the cell vectors:
Au: 0.000 0.000 0.000
Sn: 0.250 0.250 0.250
P: 0.500 0.500 0.500
Pm: 0.750 0.750 0.750

2.
## Ca4ErTl5 (PBE)

Data for an optimized crystal structure of Ca4ErTl5.

Summary:
total magnetization: 0.000 μB per atom
E_form: -0.42 eV/atom
final energy: -2.855 eV per atom

a b c (Å): 3.866 3.866 19.262
angles (deg): 90.00 90.00 90.00
Sites, in units of the cell vectors:
Tl: 0.500 0.500 0.905
Tl: 0.500 0.500 0.095
Tl: 0.500 0.500 0.500
Tl: 0.500 0.500 0.298
Tl: 0.500 0.500 0.702
Ca: 0.000 0.000 0.802
Ca: 0.000 0.000 0.198
Ca: 0.000 0.000 0.399
Ca: 0.000 0.000 0.601
Er: 0.000 0.000 0.000

Question: E_form of number 1 (PmSnPAu)?
Answer: -0.50 eV/atom